DFT (PBE-GGA) results for crystalline AcEr2Sn at its relaxed geometry.

Cell: 11.943 11.943 11.943 Å, 17.57 17.57 17.57°
Sites, in units of the cell vectors:
Ac: 0.000 0.000 0.000
Er: 0.101 0.101 0.101
Er: 0.899 0.899 0.899
Sn: 0.500 0.500 0.500

Summary:
Energy of formation   3 meV/atom
Symmetry   R-3m
Spin magnetization   0.000 μB/atom


DFT (PBE-GGA) results for crystalline HfTa2Tl2Te6 at its relaxed geometry.

Cell: 6.811 6.811 8.896 Å, 95.45 95.45 120.53°
Sites, in units of the cell vectors:
Hf: 0.000 0.000 0.000
Ta: 0.377 0.623 0.000
Ta: 0.623 0.377 0.000
Tl: 0.187 0.813 0.500
Tl: 0.813 0.187 0.500
Te: 0.034 0.396 0.179
Te: 0.260 0.260 0.768
Te: 0.396 0.034 0.179
Te: 0.604 0.966 0.821
Te: 0.740 0.740 0.232
Te: 0.966 0.604 0.821

Summary:
Symmetry   C2/m
E_form (uncorrected)   -4.24 eV per formula unit
Spin magnetization   0.000 μB/atom


DFT (PBE-GGA) results for crystalline CeAl4CuAu2 at its relaxed geometry.

Cell: 9.233 9.233 9.233 Å, 27.22 27.22 27.22°
Sites, in units of the cell vectors:
Ce: 0.000 0.000 0.000
Al: 0.131 0.131 0.131
Al: 0.402 0.402 0.402
Al: 0.598 0.598 0.598
Al: 0.869 0.869 0.869
Cu: 0.500 0.500 0.500
Au: 0.239 0.239 0.239
Au: 0.761 0.761 0.761

Summary:
Energy of formation   -403 meV/atom
Symmetry   R-3m
Spin magnetization   0.067 μB/atom